# 1
VASP calculation (PBE-GGA) on an optimized crystal structure of ErTh4Fe2.

Cell: 7.075 6.761 8.333 Å, 90.00 113.10 90.00°
Space group P2_1/m (No. 11)
Asymmetric unit:
Er  0.001  0.250  0.272 x2
Th  0.227  0.250  0.715 x2
Th  0.300  0.501  0.104 x4
Th  0.334  0.750  0.504 x2
Fe  0.025  0.750  0.141 x2
Fe  0.407  0.750  0.864 x2

Summary:
- Calculated density: 10.94 g/cm³

# 2
VASP calculation (PBE-GGA) on an optimized crystal structure of YScAlOs.

Cell: 6.793 6.793 6.793 Å, 90.00 90.00 90.00°
Space group F-43m (No. 216)
Asymmetric unit:
Y  0.000  0.000  0.000 x4
Sc  0.000  0.000  0.500 x4
Al  0.250  0.250  0.250 x4
Os  0.250  0.250  0.750 x4

Summary:
- Calculated density: 7.44 g/cm³

# 3
VASP calculation (PBE-GGA) on an optimized crystal structure of LiPm4Cu3.

Cell: 5.087 5.087 14.527 Å, 90.00 90.00 90.00°
Space group I4/mmm (No. 139)
Asymmetric unit:
Li  0.000  0.000  0.000 x2
Pm  0.000  0.500  0.130 x8
Cu  0.000  0.000  0.243 x4
Cu  0.000  0.000  0.500 x2

Summary:
- Calculated density: 6.87 g/cm³

# 4
VASP calculation (PBE-GGA) on an optimized crystal structure of Li4Dy3HoSe8.

Cell: 8.1322 8.1322 19.4903 Å, 90.00 90.00 120.00°
Space group R-3m (No. 166, hexagonal axes)
Asymmetric unit:
Li  0.0000  0.0000  0.0000 x3
Li  0.0000  0.5000  0.0000 x9
Dy  0.0000  0.5000  0.5000 x9
Ho  0.0000  0.0000  0.5000 x3
Se  0.0000  0.0000  0.2511 x6
Se  0.0011  0.5005  0.2509 x18

Summary:
- Calculated density: 5.85 g/cm³

no.,calculated total energy (eV per atom)
1,-7.3195
2,-7.2719
3,-4.2369
4,-5.0676